The following is a GGA-PBE calculation of a relaxed Cs3Ac2PuSe6 crystal, from Alexandria.

Computed properties:
E_form (uncorrected)	-1471	meV/atom
N(E_F)	0.888	states/eV per atom
SG	C2/m (12)

```
Cs3Ac2PuSe6
1.0
3.9337 -6.8253 0.0000
3.9337 6.8253 0.0000
-2.6413 0.0000 8.3902
Cs Ac Pu Se
3 2 1 6
Cartesian
0.0000 0.0000 0.0000 Cs
3.9337 2.3007 0.0000 Cs
3.9337 -2.3007 0.0000 Cs
2.6131 4.5519 4.1951 Ac
2.6131 -4.5519 4.1951 Ac
2.6131 0.0000 4.1951 Pu
1.3724 2.1636 2.5906 Se
0.1161 0.0000 5.8087 Se
1.3724 -2.1636 2.5906 Se
3.8538 2.1636 5.7996 Se
5.1101 0.0000 2.5815 Se
3.8538 -2.1636 5.7996 Se
```

The following is a GGA-PBE calculation of a relaxed Cs3AcPu2Te6 crystal, from Alexandria.

Computed properties:
E_form (uncorrected)	-1225	meV/atom
N(E_F)	2.320	states/eV per atom
SG	C2/m (12)

```
Cs3AcPu2Te6
1.0
4.0989 -7.0995 0.0000
4.0989 7.0995 0.0000
-2.7370 0.0000 8.9168
Cs Ac Pu Te
3 1 2 6
Cartesian
0.0000 0.0000 0.0000 Cs
4.0989 2.3161 0.0000 Cs
4.0989 -2.3161 0.0000 Cs
2.7304 0.0000 4.4584 Ac
2.7304 4.7272 4.4584 Pu
2.7304 -4.7272 4.4584 Pu
1.3006 2.4744 2.7294 Te
-0.1292 0.0000 6.1733 Te
1.3006 -2.4744 2.7294 Te
4.1603 2.4744 6.1874 Te
5.5901 0.0000 2.7435 Te
4.1603 -2.4744 6.1874 Te
```